Computed, not measured: LaH3C3O6 at its PBEsol-relaxed geometry at the SCAN level of DFT.

Properties
VASP energy = -141.705 eV per cell
SG = R3m, No. 160
D(E_F) = 0.000 states/eV per atom

```
data_LaH3C3O6
_cell_length_a 4.1099
_cell_length_b 6.3337
_cell_length_c 6.3337
_cell_angle_alpha 115.46
_cell_angle_beta 102.49
_cell_angle_gamma 102.49
_symmetry_space_group_name_H-M 'P 1'
_symmetry_Int_Tables_number 1
loop_
_symmetry_equiv_pos_as_xyz
'x,y,z'
loop_
_atom_site_label
_atom_site_fract_x
_atom_site_fract_y
_atom_site_fract_z
H1 0.6225 0.0000 0.4842
H2 0.6225 0.4842 0.0000
C1 0.3840 0.0000 0.5406
O1 0.7104 0.5977 0.5977
O2 0.4053 0.0000 0.7447
H3 0.1384 0.5158 0.5158
O3 0.4053 0.7447 0.0000
O4 0.6606 0.2553 0.2553
C2 0.8434 0.4594 0.4594
O5 0.1127 0.4023 0.0000
O6 0.1127 0.0000 0.4023
C3 0.3840 0.5406 0.0000
La1 0.9943 0.0000 0.0000
```

---

Computed, not measured: ScTaMn4 at its PBEsol-relaxed geometry at the SCAN level of DFT.

Properties
Calculated formation energy = -0.115 eV per atom
SG = F-43m, No. 216
D(E_F) = 0.714 states/eV per atom

```
data_ScTaMn4
_cell_length_a 4.7957
_cell_length_b 4.7957
_cell_length_c 4.7957
_cell_angle_alpha 60.00
_cell_angle_beta 60.00
_cell_angle_gamma 60.00
_symmetry_space_group_name_H-M 'P 1'
_symmetry_Int_Tables_number 1
loop_
_symmetry_equiv_pos_as_xyz
'x,y,z'
loop_
_atom_site_label
_atom_site_fract_x
_atom_site_fract_y
_atom_site_fract_z
Sc1 0.7500 0.7500 0.7500
Mn1 0.3748 0.8756 0.3748
Ta1 0.0000 0.0000 0.0000
Mn2 0.3748 0.3748 0.3748
Mn3 0.3748 0.3748 0.8756
Mn4 0.8756 0.3748 0.3748
```

---

Computed, not measured: FeSb at its PBEsol-relaxed geometry at the SCAN level of DFT.

Properties
VASP energy = -164.940 eV per cell
SG = Cm, No. 8
D(E_F) = 0.538 states/eV per atom

```
data_FeSb
_cell_length_a 3.1191
_cell_length_b 6.2673
_cell_length_c 6.4406
_cell_angle_alpha 116.55
_cell_angle_beta 104.01
_cell_angle_gamma 90.00
_symmetry_space_group_name_H-M 'P 1'
_symmetry_Int_Tables_number 1
loop_
_symmetry_equiv_pos_as_xyz
'x,y,z'
loop_
_atom_site_label
_atom_site_fract_x
_atom_site_fract_y
_atom_site_fract_z
Sb1 0.0599 0.2470 0.1199
Sb2 0.7411 0.8526 0.4821
Fe1 0.3862 0.2520 0.7724
Sb3 0.9622 0.6542 0.9243
Fe2 0.2833 0.5765 0.5667
Fe3 0.7340 0.2510 0.4679
```

---

Computed, not measured: YCu3Se at its PBEsol-relaxed geometry at the SCAN level of DFT.

Properties
VASP energy = -92.102 eV per cell
SG = Pm-3m, No. 221
D(E_F) = 0.887 states/eV per atom

```
data_YCu3Se
_cell_length_a 4.5636
_cell_length_b 4.5636
_cell_length_c 4.5636
_cell_angle_alpha 90.00
_cell_angle_beta 90.00
_cell_angle_gamma 90.00
_symmetry_space_group_name_H-M 'P 1'
_symmetry_Int_Tables_number 1
loop_
_symmetry_equiv_pos_as_xyz
'x,y,z'
loop_
_atom_site_label
_atom_site_fract_x
_atom_site_fract_y
_atom_site_fract_z
Cu1 0.0000 0.5000 0.0000
Cu2 0.5000 0.0000 0.0000
Y1 0.5000 0.5000 0.5000
Se1 0.0000 0.0000 0.0000
Cu3 0.0000 0.0000 0.5000
```

---

Computed, not measured: ScCuI3 at its PBEsol-relaxed geometry at the SCAN level of DFT.

Properties
VASP energy = -140.835 eV per cell
SG = Pm-3m, No. 221
D(E_F) = 0.271 states/eV per atom

```
data_ScCuI3
_cell_length_a 5.6046
_cell_length_b 5.6046
_cell_length_c 5.6046
_cell_angle_alpha 90.00
_cell_angle_beta 90.00
_cell_angle_gamma 90.00
_symmetry_space_group_name_H-M 'P 1'
_symmetry_Int_Tables_number 1
loop_
_symmetry_equiv_pos_as_xyz
'x,y,z'
loop_
_atom_site_label
_atom_site_fract_x
_atom_site_fract_y
_atom_site_fract_z
Cu1 0.5000 0.5000 0.5000
I1 0.5000 0.0000 0.0000
I2 0.0000 0.0000 0.5000
Sc1 0.0000 0.0000 0.0000
I3 0.0000 0.5000 0.0000
```

---

Computed, not measured: Pa at its PBEsol-relaxed geometry at the SCAN level of DFT.

Properties
Calculated formation energy = 0.000 eV per atom
SG = I4/mmm, No. 139
D(E_F) = 2.002 states/eV per atom

```
data_Pa
_cell_length_a 3.1399
_cell_length_b 3.1543
_cell_length_c 3.1543
_cell_angle_alpha 75.66
_cell_angle_beta 60.15
_cell_angle_gamma 60.15
_symmetry_space_group_name_H-M 'P 1'
_symmetry_Int_Tables_number 1
loop_
_symmetry_equiv_pos_as_xyz
'x,y,z'
loop_
_atom_site_label
_atom_site_fract_x
_atom_site_fract_y
_atom_site_fract_z
Pa1 0.0000 0.0000 0.0000
```

---

Computed, not measured: DyCuO3 at its PBEsol-relaxed geometry at the SCAN level of DFT.

Properties
VASP energy = -92.211 eV per cell
SG = Pm-3m, No. 221
D(E_F) = 0.131 states/eV per atom

```
data_DyCuO3
_cell_length_a 3.7227
_cell_length_b 3.7227
_cell_length_c 3.7227
_cell_angle_alpha 90.00
_cell_angle_beta 90.00
_cell_angle_gamma 90.00
_symmetry_space_group_name_H-M 'P 1'
_symmetry_Int_Tables_number 1
loop_
_symmetry_equiv_pos_as_xyz
'x,y,z'
loop_
_atom_site_label
_atom_site_fract_x
_atom_site_fract_y
_atom_site_fract_z
Dy1 0.0000 0.0000 0.0000
Cu1 0.5000 0.5000 0.5000
O1 0.5000 0.5000 0.0000
O2 0.5000 0.0000 0.5000
O3 0.0000 0.5000 0.5000
```

---

Computed, not measured: SrZn2Ru at its PBEsol-relaxed geometry at the SCAN level of DFT.

Properties
Calculated formation energy = 0.034 eV per atom
SG = P4/mmm, No. 123
D(E_F) = 0.439 states/eV per atom

```
data_SrZn2Ru
_cell_length_a 3.3352
_cell_length_b 3.3352
_cell_length_c 6.5697
_cell_angle_alpha 90.00
_cell_angle_beta 90.00
_cell_angle_gamma 90.00
_symmetry_space_group_name_H-M 'P 1'
_symmetry_Int_Tables_number 1
loop_
_symmetry_equiv_pos_as_xyz
'x,y,z'
loop_
_atom_site_label
_atom_site_fract_x
_atom_site_fract_y
_atom_site_fract_z
Zn1 0.0000 0.0000 0.1827
Sr1 0.5000 0.5000 0.5000
Zn2 0.0000 0.0000 0.8173
Ru1 0.5000 0.5000 0.0000
```

---

Computed, not measured: LaN2F2 at its PBEsol-relaxed geometry at the SCAN level of DFT.

Properties
VASP energy = -70.510 eV per cell
SG = P4/mmm, No. 123
D(E_F) = 0.683 states/eV per atom

```
data_LaN2F2
_cell_length_a 4.4789
_cell_length_b 4.9424
_cell_length_c 4.9424
_cell_angle_alpha 90.00
_cell_angle_beta 90.00
_cell_angle_gamma 90.00
_symmetry_space_group_name_H-M 'P 1'
_symmetry_Int_Tables_number 1
loop_
_symmetry_equiv_pos_as_xyz
'x,y,z'
loop_
_atom_site_label
_atom_site_fract_x
_atom_site_fract_y
_atom_site_fract_z
F1 0.5000 0.0000 0.0000
N1 0.0000 0.0000 0.5000
N2 0.0000 0.5000 0.0000
F2 0.5000 0.5000 0.5000
La1 0.0000 0.0000 0.0000
```

---

Computed, not measured: YZr2W at its PBEsol-relaxed geometry at the SCAN level of DFT.

Properties
Calculated formation energy = 0.446 eV per atom
SG = C2/m, No. 12
D(E_F) = 1.259 states/eV per atom

```
data_YZr2W
_cell_length_a 2.9531
_cell_length_b 5.7645
_cell_length_c 5.7645
_cell_angle_alpha 116.16
_cell_angle_beta 100.36
_cell_angle_gamma 100.36
_symmetry_space_group_name_H-M 'P 1'
_symmetry_Int_Tables_number 1
loop_
_symmetry_equiv_pos_as_xyz
'x,y,z'
loop_
_atom_site_label
_atom_site_fract_x
_atom_site_fract_y
_atom_site_fract_z
Y1 0.5000 0.0000 0.0000
Zr1 0.0000 0.0000 0.5000
Zr2 0.0000 0.5000 0.0000
W1 0.5000 0.5000 0.5000
```

---

Computed, not measured: CaLaHg2N at its PBEsol-relaxed geometry at the SCAN level of DFT.

Properties
VASP energy = -191.803 eV per cell
SG = P4/mmm, No. 123
D(E_F) = 0.931 states/eV per atom

```
data_CaLaHg2N
_cell_length_a 5.2795
_cell_length_b 5.2795
_cell_length_c 6.4127
_cell_angle_alpha 90.00
_cell_angle_beta 90.00
_cell_angle_gamma 90.00
_symmetry_space_group_name_H-M 'P 1'
_symmetry_Int_Tables_number 1
loop_
_symmetry_equiv_pos_as_xyz
'x,y,z'
loop_
_atom_site_label
_atom_site_fract_x
_atom_site_fract_y
_atom_site_fract_z
La1 0.0000 0.0000 0.5000
Ca1 0.0000 0.0000 0.0000
N1 0.5000 0.5000 0.5000
Hg1 0.0000 0.5000 0.0000
Hg2 0.5000 0.0000 0.0000
```

---

Computed, not measured: Sr3MnAs at its PBEsol-relaxed geometry at the SCAN level of DFT.

Properties
Calculated formation energy = -0.310 eV per atom
SG = Pm-3m, No. 221
D(E_F) = 1.167 states/eV per atom

```
data_Sr3MnAs
_cell_length_a 5.8991
_cell_length_b 5.8991
_cell_length_c 5.8991
_cell_angle_alpha 90.00
_cell_angle_beta 90.00
_cell_angle_gamma 90.00
_symmetry_space_group_name_H-M 'P 1'
_symmetry_Int_Tables_number 1
loop_
_symmetry_equiv_pos_as_xyz
'x,y,z'
loop_
_atom_site_label
_atom_site_fract_x
_atom_site_fract_y
_atom_site_fract_z
Sr1 0.0000 0.0000 0.5000
Sr2 0.5000 0.0000 0.0000
Mn1 0.5000 0.5000 0.5000
Sr3 0.0000 0.5000 0.0000
As1 0.0000 0.0000 0.0000
```

---

Computed, not measured: Na2CuO2 at its PBEsol-relaxed geometry at the SCAN level of DFT.

Properties
VASP energy = -42.356 eV per cell
SG = Immm, No. 71

```
data_Na2CuO2
_cell_length_a 2.9501
_cell_length_b 4.4940
_cell_length_c 5.5617
_cell_angle_alpha 113.83
_cell_angle_beta 105.38
_cell_angle_gamma 90.00
_symmetry_space_group_name_H-M 'P 1'
_symmetry_Int_Tables_number 1
loop_
_symmetry_equiv_pos_as_xyz
'x,y,z'
loop_
_atom_site_label
_atom_site_fract_x
_atom_site_fract_y
_atom_site_fract_z
Na1 0.3154 0.8154 0.6308
Na2 0.6846 0.1846 0.3692
Cu1 0.0000 0.5000 0.0000
O1 0.3679 0.3679 0.7358
O2 0.6321 0.6321 0.2642
```

---

Computed, not measured: GaPCl2O at its PBEsol-relaxed geometry at the SCAN level of DFT.

Properties
VASP energy = -49.335 eV per cell
SG = P4/mmm, No. 123
D(E_F) = 0.761 states/eV per atom

```
data_GaPCl2O
_cell_length_a 3.2999
_cell_length_b 5.5691
_cell_length_c 5.5691
_cell_angle_alpha 90.00
_cell_angle_beta 90.00
_cell_angle_gamma 90.00
_symmetry_space_group_name_H-M 'P 1'
_symmetry_Int_Tables_number 1
loop_
_symmetry_equiv_pos_as_xyz
'x,y,z'
loop_
_atom_site_label
_atom_site_fract_x
_atom_site_fract_y
_atom_site_fract_z
P1 0.5000 0.0000 0.0000
O1 0.0000 0.0000 0.0000
Cl1 0.0000 0.0000 0.5000
Ga1 0.5000 0.5000 0.5000
Cl2 0.0000 0.5000 0.0000
```

---

Computed, not measured: Mn2AgSe at its PBEsol-relaxed geometry at the SCAN level of DFT.

Properties
VASP energy = -88.429 eV per cell
SG = R-3m, No. 166
D(E_F) = 0.414 states/eV per atom

```
data_Mn2AgSe
_cell_length_a 3.2506
_cell_length_b 3.2506
_cell_length_c 7.5171
_cell_angle_alpha 77.51
_cell_angle_beta 77.51
_cell_angle_gamma 60.00
_symmetry_space_group_name_H-M 'P 1'
_symmetry_Int_Tables_number 1
loop_
_symmetry_equiv_pos_as_xyz
'x,y,z'
loop_
_atom_site_label
_atom_site_fract_x
_atom_site_fract_y
_atom_site_fract_z
Mn1 0.7561 0.7561 0.7316
Se1 0.5000 0.5000 0.5000
Ag1 0.0000 0.0000 0.0000
Mn2 0.2439 0.2439 0.2684
```

---

Computed, not measured: Ta2InW at its PBEsol-relaxed geometry at the SCAN level of DFT.

Properties
Calculated formation energy = 0.135 eV per atom
SG = P4/mmm, No. 123
D(E_F) = 0.720 states/eV per atom

```
data_Ta2InW
_cell_length_a 3.5325
_cell_length_b 4.4508
_cell_length_c 4.4508
_cell_angle_alpha 90.00
_cell_angle_beta 90.00
_cell_angle_gamma 90.00
_symmetry_space_group_name_H-M 'P 1'
_symmetry_Int_Tables_number 1
loop_
_symmetry_equiv_pos_as_xyz
'x,y,z'
loop_
_atom_site_label
_atom_site_fract_x
_atom_site_fract_y
_atom_site_fract_z
In1 0.5000 0.0000 0.0000
W1 0.5000 0.5000 0.5000
Ta1 0.0000 0.0000 0.5000
Ta2 0.0000 0.5000 0.0000
```

---

Computed, not measured: Al2Cd2Bi at its PBEsol-relaxed geometry at the SCAN level of DFT.

Properties
Calculated formation energy = 0.238 eV per atom
SG = P4/mbm, No. 127
D(E_F) = 0.484 states/eV per atom

```
data_Al2Cd2Bi
_cell_length_a 3.0724
_cell_length_b 8.4647
_cell_length_c 8.4647
_cell_angle_alpha 90.00
_cell_angle_beta 90.00
_cell_angle_gamma 90.00
_symmetry_space_group_name_H-M 'P 1'
_symmetry_Int_Tables_number 1
loop_
_symmetry_equiv_pos_as_xyz
'x,y,z'
loop_
_atom_site_label
_atom_site_fract_x
_atom_site_fract_y
_atom_site_fract_z
Al1 0.5000 0.8322 0.3322
Cd1 0.0000 0.1298 0.3702
Al2 0.5000 0.3322 0.1678
Bi1 0.0000 0.5000 0.5000
Al3 0.5000 0.1678 0.6678
Bi2 0.0000 0.0000 0.0000
Cd2 0.0000 0.3702 0.8702
Cd3 0.0000 0.6298 0.1298
Cd4 0.0000 0.8702 0.6298
Al4 0.5000 0.6678 0.8322
```

---

Computed, not measured: TaAsPb2 at its PBEsol-relaxed geometry at the SCAN level of DFT.

Properties
Calculated formation energy = 0.693 eV per atom
SG = I-4m2, No. 119
D(E_F) = 0.674 states/eV per atom

```
data_TaAsPb2
_cell_length_a 4.2912
_cell_length_b 4.2912
_cell_length_c 5.6990
_cell_angle_alpha 112.12
_cell_angle_beta 112.12
_cell_angle_gamma 90.00
_symmetry_space_group_name_H-M 'P 1'
_symmetry_Int_Tables_number 1
loop_
_symmetry_equiv_pos_as_xyz
'x,y,z'
loop_
_atom_site_label
_atom_site_fract_x
_atom_site_fract_y
_atom_site_fract_z
Ta1 0.5000 0.5000 0.0000
As1 0.2500 0.7500 0.5000
Pb1 0.7500 0.2500 0.5000
Pb2 0.0000 0.0000 0.0000
```

---

Computed, not measured: Mg3Zr at its PBEsol-relaxed geometry at the SCAN level of DFT.

Properties
Calculated formation energy = 0.016 eV per atom
SG = P-6m2, No. 187
D(E_F) = 0.481 states/eV per atom

```
data_Mg3Zr
_cell_length_a 3.0919
_cell_length_b 3.0919
_cell_length_c 10.5492
_cell_angle_alpha 90.00
_cell_angle_beta 90.00
_cell_angle_gamma 120.00
_symmetry_space_group_name_H-M 'P 1'
_symmetry_Int_Tables_number 1
loop_
_symmetry_equiv_pos_as_xyz
'x,y,z'
loop_
_atom_site_label
_atom_site_fract_x
_atom_site_fract_y
_atom_site_fract_z
Mg1 0.6667 0.3333 0.2522
Zr1 0.0000 0.0000 0.0000
Mg2 0.0000 0.0000 0.5000
Mg3 0.6667 0.3333 0.7478
```

---

Computed, not measured: Rb2MnCl6 at its PBEsol-relaxed geometry at the SCAN level of DFT.

Properties
VASP energy = -122.866 eV per cell
SG = Fm-3m, No. 225

```
data_Rb2MnCl6
_cell_length_a 6.9160
_cell_length_b 6.9160
_cell_length_c 6.9160
_cell_angle_alpha 60.00
_cell_angle_beta 60.00
_cell_angle_gamma 60.00
_symmetry_space_group_name_H-M 'P 1'
_symmetry_Int_Tables_number 1
loop_
_symmetry_equiv_pos_as_xyz
'x,y,z'
loop_
_atom_site_label
_atom_site_fract_x
_atom_site_fract_y
_atom_site_fract_z
Mn1 0.5000 0.5000 0.5000
Rb1 0.7500 0.7500 0.7500
Cl1 0.2689 0.7311 0.7311
Cl2 0.2689 0.2689 0.7311
Cl3 0.7311 0.7311 0.2689
Cl4 0.2689 0.7311 0.2689
Cl5 0.7311 0.2689 0.7311
Cl6 0.7311 0.2689 0.2689
Rb2 0.2500 0.2500 0.2500
```